--- 1 ---
Compound: Pr3TlH
Source: Alexandria
Functional: PBE
Structure: relaxed

a = 5.0635 Å, b = 5.0635 Å, c = 5.0635 Å
α = 90.00°, β = 90.00°, γ = 90.00°
Space group Pm-3m (No. 221)
Symmetry-distinct sites (fractional):
1 Pr 0.0000 0.0000 0.5000
2 Tl 0.5000 0.5000 0.5000
3 H 0.0000 0.0000 0.0000

--- 2 ---
Compound: Pr3TlH
Source: Alexandria
Functional: PBE
Structure: relaxed

a = 9.7668 Å, b = 16.5860 Å, c = 6.8065 Å
α = 90.00°, β = 90.00°, γ = 90.00°
Space group Cmce (No. 64)
Symmetry-distinct sites (fractional):
1 Pr 0.0000 0.0450 0.2485
2 Pr 0.0000 0.2372 0.5177
3 Pr 0.2500 0.1056 0.7500
4 Tl 0.2500 0.1701 0.2500
5 H 0.0000 0.0881 0.5929

Here are the energies relative to the best structure, in meV/atom: 1 0; 2 74.

--- 1 ---
Compound: Pr2TlH
Source: Alexandria
Functional: PBE
Structure: relaxed

a = 10.3252 Å, b = 5.6320 Å, c = 7.2472 Å
α = 90.00°, β = 109.74°, γ = 90.00°
Space group P2_1/c (No. 14)
Symmetry-distinct sites (fractional):
1 Pr 0.0674 0.2500 0.0300
2 Pr 0.2943 0.7391 0.3964
3 Tl 0.4006 0.2483 0.2041
4 H 0.0696 0.5488 0.2840

--- 2 ---
Compound: Pr2TlH
Source: Alexandria
Functional: PBE
Structure: relaxed

a = 3.7448 Å, b = 3.7448 Å, c = 24.6780 Å
α = 90.00°, β = 90.00°, γ = 120.00°
Space group R3m (No. 160, hexagonal axes)
Symmetry-distinct sites (fractional):
1 Pr 0.0000 0.0000 0.0000
2 Pr 0.0000 0.0000 0.2160
3 Tl 0.0000 0.0000 0.4413
4 H 0.0000 0.0000 0.6072

--- 3 ---
Compound: Pr2TlH
Source: Alexandria
Functional: PBE
Structure: relaxed

a = 5.7273 Å, b = 12.4554 Å, c = 5.6694 Å
α = 90.00°, β = 90.00°, γ = 90.00°
Space group Cccm (No. 66)
Symmetry-distinct sites (fractional):
1 Pr 0.2485 0.0994 0.0000
2 Tl 0.2500 0.2500 0.5000
3 H 0.0000 0.0000 0.2500

Here are the energies relative to the best structure, in meV/atom: 1 126; 2 142; 3 0.

--- 1 ---
Compound: Pr2TlH
Source: Alexandria
Functional: PBE
Structure: relaxed

a = 3.5137 Å, b = 3.5137 Å, c = 7.7849 Å
α = 90.00°, β = 90.00°, γ = 90.00°
Space group P4/mmm (No. 123)
Symmetry-distinct sites (fractional):
1 Pr 0.0000 0.0000 0.2148
2 Tl 0.5000 0.5000 0.5000
3 H 0.5000 0.5000 0.0000

--- 2 ---
Compound: Pr2TlH
Source: Alexandria
Functional: PBE
Structure: relaxed

a = 3.7590 Å, b = 3.7590 Å, c = 24.4243 Å
α = 90.00°, β = 90.00°, γ = 120.00°
Space group R-3m (No. 166, hexagonal axes)
Symmetry-distinct sites (fractional):
1 Pr 0.0000 0.0000 0.2262
2 Tl 0.0000 0.0000 0.0000
3 H 0.0000 0.0000 0.5000

Here are the energies relative to the best structure, in meV/atom: 1 210; 2 0.

--- 1 ---
Compound: PrTlH
Source: Alexandria
Functional: PBE
Structure: relaxed

a = 3.9416 Å, b = 3.9416 Å, c = 30.6701 Å
α = 90.00°, β = 90.00°, γ = 120.00°
Space group R-3m (No. 166, hexagonal axes)
Symmetry-distinct sites (fractional):
1 Pr 0.0000 0.0000 0.2150
2 Tl 0.0000 0.0000 0.3692
3 H 0.0000 0.0000 0.1384

--- 2 ---
Compound: PrTlH
Source: Alexandria
Functional: PBE
Structure: relaxed

a = 4.1435 Å, b = 4.6251 Å, c = 6.8788 Å
α = 90.00°, β = 107.29°, γ = 90.00°
Space group P2_1/m (No. 11)
Symmetry-distinct sites (fractional):
1 Pr 0.1663 0.2500 0.3295
2 Tl 0.4244 0.2500 0.8611
3 H 0.2446 0.7500 0.4885

Here are the energies relative to the best structure, in meV/atom: 1 77; 2 0.

--- 1 ---
Compound: PrTlH
Source: Alexandria
Functional: PBE
Structure: relaxed

a = 3.8691 Å, b = 3.8691 Å, c = 5.3600 Å
α = 90.00°, β = 90.00°, γ = 120.00°
Space group P-6m2 (No. 187)
Symmetry-distinct sites (fractional):
1 Pr 0.0000 0.0000 0.0000
2 Tl 0.3333 0.6667 0.5000
3 H 0.6667 0.3333 0.0000

--- 2 ---
Compound: PrTlH
Source: Alexandria
Functional: PBE
Structure: relaxed

a = 3.3568 Å, b = 3.3568 Å, c = 12.0799 Å
α = 90.00°, β = 90.00°, γ = 90.00°
Space group I4mm (No. 107)
Symmetry-distinct sites (fractional):
1 Pr 0.0000 0.0000 0.0000
2 Tl 0.0000 0.0000 0.2727
3 H 0.0000 0.0000 0.5341

Here are the energies relative to the best structure, in meV/atom: 1 0; 2 179.

--- 1 ---
Compound: Pr3TlH2
Source: Alexandria
Functional: PBE
Structure: relaxed

a = 4.8412 Å, b = 4.9816 Å, c = 10.9940 Å
α = 90.00°, β = 90.00°, γ = 90.00°
Space group Immm (No. 71)
Symmetry-distinct sites (fractional):
1 Pr 0.0000 0.0000 0.0000
2 Pr 0.0000 0.5000 0.2408
3 Tl 0.0000 0.0000 0.5000
4 H 0.0000 0.0000 0.2130

--- 2 ---
Compound: Pr3TlH2
Source: Alexandria
Functional: PBE
Structure: relaxed

a = 8.9296 Å, b = 11.9248 Å, c = 5.4133 Å
α = 90.00°, β = 90.00°, γ = 90.00°
Space group Cmcm (No. 63)
Symmetry-distinct sites (fractional):
1 Pr 0.0000 0.1122 0.2500
2 Pr 0.2013 0.3891 0.2500
3 Tl 0.0000 0.3144 0.7500
4 H 0.1480 0.0000 0.0000

Here are the energies relative to the best structure, in meV/atom: 1 0; 2 13.

--- 1 ---
Compound: Pr2TmH
Source: Alexandria
Functional: PBE
Structure: relaxed

a = 3.4608 Å, b = 3.4608 Å, c = 8.6219 Å
α = 90.00°, β = 90.00°, γ = 90.00°
Space group P4/mmm (No. 123)
Symmetry-distinct sites (fractional):
1 Pr 0.0000 0.0000 0.1922
2 Tm 0.5000 0.5000 0.5000
3 H 0.5000 0.5000 0.0000

--- 2 ---
Compound: Pr2TmH
Source: Alexandria
Functional: PBE
Structure: relaxed

a = 3.6768 Å, b = 3.6768 Å, c = 26.6236 Å
α = 90.00°, β = 90.00°, γ = 120.00°
Space group R-3m (No. 166, hexagonal axes)
Symmetry-distinct sites (fractional):
1 Pr 0.0000 0.0000 0.2237
2 Tm 0.0000 0.0000 0.0000
3 H 0.0000 0.0000 0.5000

Here are the energies relative to the best structure, in meV/atom: 1 219; 2 0.

--- 1 ---
Compound: PrTmH2
Source: Alexandria
Functional: PBE
Structure: relaxed

a = 3.5298 Å, b = 3.5298 Å, c = 18.0793 Å
α = 90.00°, β = 90.00°, γ = 120.00°
Space group R3m (No. 160, hexagonal axes)
Symmetry-distinct sites (fractional):
1 Pr 0.0000 0.0000 0.0000
2 Tm 0.0000 0.0000 0.1785
3 H 0.0000 0.0000 0.5767
4 H 0.0000 0.0000 0.7842

--- 2 ---
Compound: PrTmH2
Source: Alexandria
Functional: PBE
Structure: relaxed

a = 3.5446 Å, b = 3.5446 Å, c = 17.3001 Å
α = 90.00°, β = 90.00°, γ = 120.00°
Space group R-3m (No. 166, hexagonal axes)
Symmetry-distinct sites (fractional):
1 Pr 0.0000 0.0000 0.0000
2 Tm 0.0000 0.0000 0.5000
3 H 0.0000 0.0000 0.2402

Here are the energies relative to the best structure, in meV/atom: 1 82; 2 0.

--- 1 ---
Compound: PrYH2
Source: Alexandria
Functional: PBE
Structure: relaxed

a = 3.5743 Å, b = 3.5743 Å, c = 18.2500 Å
α = 90.00°, β = 90.00°, γ = 120.00°
Space group R3m (No. 160, hexagonal axes)
Symmetry-distinct sites (fractional):
1 Pr 0.0000 0.0000 0.0000
2 Y 0.0000 0.0000 0.1784
3 H 0.0000 0.0000 0.5792
4 H 0.0000 0.0000 0.7802

--- 2 ---
Compound: PrYH2
Source: Alexandria
Functional: PBE
Structure: relaxed

a = 3.5840 Å, b = 3.5840 Å, c = 17.4921 Å
α = 90.00°, β = 90.00°, γ = 120.00°
Space group R-3m (No. 166, hexagonal axes)
Symmetry-distinct sites (fractional):
1 Pr 0.0000 0.0000 0.0000
2 Y 0.0000 0.0000 0.5000
3 H 0.0000 0.0000 0.2417

Here are the energies relative to the best structure, in meV/atom: 1 86; 2 0.

--- 1 ---
Compound: H4Pt
Source: Alexandria
Functional: PBE
Structure: relaxed

a = 3.4333 Å, b = 3.4333 Å, c = 3.4333 Å
α = 90.00°, β = 90.00°, γ = 90.00°
Space group Pm-3m (No. 221)
Symmetry-distinct sites (fractional):
1 H 0.0000 0.0000 0.0000
2 H 0.0000 0.5000 0.5000
3 Pt 0.5000 0.5000 0.5000

--- 2 ---
Compound: H4Pt
Source: Alexandria
Functional: PBE
Structure: relaxed

a = 6.6246 Å, b = 6.6246 Å, c = 6.6246 Å
α = 90.00°, β = 90.00°, γ = 90.00°
Space group Im-3m (No. 229)
Symmetry-distinct sites (fractional):
1 H 0.0000 0.0000 0.2464
2 H 0.0000 0.2500 0.5000
3 Pt 0.0000 0.0000 0.5000

Here are the energies relative to the best structure, in meV/atom: 1 192; 2 0.

--- 1 ---
Compound: HPt3
Source: Alexandria
Functional: PBE
Structure: relaxed

a = 2.7515 Å, b = 2.7697 Å, c = 6.8595 Å
α = 90.00°, β = 90.00°, γ = 90.00°
Space group Pmm2 (No. 25)
Symmetry-distinct sites (fractional):
1 H 0.0000 0.0000 0.0000
2 Pt 0.0000 0.5000 0.1627
3 Pt 0.5000 0.0000 0.4661
4 Pt 0.5000 0.5000 0.8008

--- 2 ---
Compound: HPt3
Source: Alexandria
Functional: PBE
Structure: relaxed

a = 3.8097 Å, b = 3.8097 Å, c = 3.8097 Å
α = 90.00°, β = 90.00°, γ = 90.00°
Space group Pm-3m (No. 221)
Symmetry-distinct sites (fractional):
1 H 0.0000 0.0000 0.0000
2 Pt 0.0000 0.5000 0.5000

Here are the energies relative to the best structure, in meV/atom: 1 0; 2 423.